No. 1
This record from the Alexandria database describes a relaxed structure of BaCd4Pt. The functional is GGA-PBE.

a = 4.397 Å, b = 7.860 Å, c = 9.036 Å
α = 90.00°, β = 90.00°, γ = 90.00°
Element x y z (fractional)
Pt 0.000 0.805 0.250
Pt 0.000 0.195 0.750
Cd 0.000 0.000 0.500
Cd 0.500 0.294 0.941
Cd 0.500 0.294 0.559
Cd 0.500 0.048 0.250
Cd 0.000 0.000 0.000
Cd 0.500 0.706 0.059
Cd 0.500 0.952 0.750
Cd 0.500 0.706 0.441
Ba 0.000 0.596 0.750
Ba 0.000 0.404 0.250

Output
total magnetization = 0.0 μB/cell
offset from the most stable computed form = 0.000 eV/atom


No. 2
This record from the Alexandria database describes a relaxed structure of BaCdPt3. The functional is GGA-PBE.

a = 5.090 Å, b = 5.090 Å, c = 5.090 Å
α = 90.00°, β = 90.00°, γ = 90.00°
Element x y z (fractional)
Pt 0.000 0.500 0.000
Pt 0.000 0.000 0.500
Pt 0.500 0.000 0.000
Cd 0.000 0.000 0.000
Ba 0.500 0.500 0.500

Output
total magnetization = 0.0 μB/cell
offset from the most stable computed form = 0.000 eV/atom


No. 3
This record from the Alexandria database describes a relaxed structure of BaCd2Pt2. The functional is GGA-PBE.

a = 4.968 Å, b = 4.968 Å, c = 6.217 Å
α = 66.45°, β = 66.45°, γ = 90.00°
Element x y z (fractional)
Cd 0.638 0.638 0.723
Cd 0.362 0.362 0.277
Pt 0.750 0.250 0.500
Pt 0.250 0.750 0.500
Ba 0.000 0.000 0.000

Output
total magnetization = 0.0 μB/cell
offset from the most stable computed form = 0.152 eV/atom


No. 4
This record from the Alexandria database describes a relaxed structure of Ba8Cd2Pt. The functional is GGA-PBE.

a = 4.730 Å, b = 10.448 Å, c = 11.718 Å
α = 91.16°, β = 101.65°, γ = 90.00°
Element x y z (fractional)
Ba 0.230 0.316 0.459
Ba 0.770 0.684 0.541
Ba 0.362 0.007 0.724
Ba 0.402 0.487 0.804
Ba 0.999 0.800 0.998
Ba 0.598 0.513 0.196
Ba 0.001 0.200 0.002
Ba 0.638 0.993 0.276
Cd 0.841 0.268 0.681
Cd 0.159 0.732 0.319
Pt 0.500 0.000 0.000

Output
total magnetization = 0.0 μB/cell
offset from the most stable computed form = 0.000 eV/atom


No. 5
This record from the Alexandria database describes a relaxed structure of Ba5Cd3Pt3. The functional is GGA-PBE.

a = 5.343 Å, b = 9.784 Å, c = 9.784 Å
α = 120.00°, β = 90.00°, γ = 90.00°
Element x y z (fractional)
Ba 0.500 0.748 0.000
Ba 0.500 0.000 0.748
Ba 0.500 0.252 0.252
Ba 0.500 0.667 0.333
Ba 0.500 0.333 0.667
Cd 0.000 0.623 0.623
Cd 0.000 0.377 0.000
Cd 0.000 0.000 0.377
Pt 0.500 0.373 0.000
Pt 0.500 0.000 0.373
Pt 0.500 0.627 0.627

Output
total magnetization = 0.0 μB/cell


No. 6
This record from the Alexandria database describes a relaxed structure of Ba3Cd4Pt2. The functional is GGA-PBE.

a = 5.144 Å, b = 6.379 Å, c = 9.851 Å
α = 68.36°, β = 74.86°, γ = 66.22°
Element x y z (fractional)
Cd 0.280 0.368 0.073
Cd 0.117 0.191 0.576
Cd 0.883 0.809 0.424
Cd 0.720 0.632 0.927
Ba 0.000 0.000 0.000
Ba 0.630 0.423 0.317
Ba 0.370 0.577 0.683
Pt 0.653 0.017 0.676
Pt 0.347 0.983 0.324

Output
total magnetization = 0.0 μB/cell


No. 7
This record from the Alexandria database describes a relaxed structure of Ba5Cd2Pt2. The functional is GGA-PBE.

a = 8.642 Å, b = 8.671 Å, c = 10.034 Å
α = 90.00°, β = 64.49°, γ = 90.00°
Element x y z (fractional)
Cd 0.713 0.500 0.575
Cd 0.213 0.000 0.575
Cd 0.287 0.500 0.425
Cd 0.787 0.000 0.425
Ba 0.792 0.831 0.757
Ba 0.000 0.000 0.000
Ba 0.952 0.331 0.757
Ba 0.500 0.500 0.000
Ba 0.208 0.169 0.243
Ba 0.708 0.331 0.243
Ba 0.048 0.669 0.243
Ba 0.292 0.669 0.757
Ba 0.548 0.831 0.243
Ba 0.452 0.169 0.757
Pt 0.622 0.122 0.000
Pt 0.122 0.378 0.000
Pt 0.878 0.622 0.000
Pt 0.378 0.878 0.000

Output
total magnetization = 0.0 μB/cell


No. 8
This record from the Alexandria database describes a relaxed structure of Ba2CdPt2. The functional is GGA-PBE.

a = 6.234 Å, b = 6.234 Å, c = 6.005 Å
α = 58.73°, β = 58.73°, γ = 90.00°
Element x y z (fractional)
Pt 0.663 0.663 0.673
Pt 0.337 0.337 0.327
Ba 0.750 0.250 0.500
Ba 0.250 0.750 0.500
Cd 0.000 0.000 0.000

Output
total magnetization = 0.0 μB/cell


No. 9
This record from the Alexandria database describes a relaxed structure of BaCdPt10. The functional is GGA-PBE.

a = 4.484 Å, b = 5.411 Å, c = 9.421 Å
α = 90.00°, β = 90.00°, γ = 90.00°
Element x y z (fractional)
Cd 0.000 0.500 0.500
Pt 0.000 0.000 0.345
Pt 0.500 0.750 0.255
Pt 0.000 0.500 0.805
Pt 0.500 0.500 0.000
Pt 0.500 0.750 0.745
Pt 0.500 0.250 0.255
Pt 0.000 0.000 0.655
Pt 0.500 0.000 0.500
Pt 0.500 0.250 0.745
Pt 0.000 0.500 0.195
Ba 0.000 0.000 0.000

Output
total magnetization = 0.0 μB/cell


No. 10
This record from the Alexandria database describes a relaxed structure of BaCd8Pt4. The functional is GGA-PBE.

a = 5.756 Å, b = 7.480 Å, c = 7.480 Å
α = 81.49°, β = 67.37°, γ = 67.37°
Element x y z (fractional)
Cd 0.656 0.344 0.344
Cd 0.276 0.224 0.224
Cd 0.000 0.344 0.656
Cd 0.000 0.656 0.344
Cd 0.344 0.656 0.656
Cd 0.500 0.776 0.224
Cd 0.500 0.224 0.776
Cd 0.724 0.776 0.776
Pt 0.500 0.500 0.000
Pt 0.500 0.000 0.500
Pt 0.000 0.500 0.000
Pt 0.000 0.000 0.500
Ba 0.000 0.000 0.000

Output
total magnetization = 0.0 μB/cell


No. 11
This record from the Alexandria database describes a relaxed structure of BaCd3Pt3. The functional is GGA-PBE.

a = 7.445 Å, b = 7.445 Å, c = 7.445 Å
α = 90.00°, β = 90.00°, γ = 90.00°
Element x y z (fractional)
Pt 0.000 0.500 0.750
Pt 0.500 0.750 0.000
Pt 0.250 0.000 0.500
Pt 0.500 0.250 0.000
Pt 0.000 0.500 0.250
Pt 0.750 0.000 0.500
Ba 0.500 0.500 0.500
Ba 0.000 0.000 0.000
Cd 0.000 0.250 0.500
Cd 0.500 0.000 0.750
Cd 0.750 0.500 0.000
Cd 0.250 0.500 0.000
Cd 0.500 0.000 0.250
Cd 0.000 0.750 0.500

Output
total magnetization = 0.0 μB/cell


No. 12
This record from the Alexandria database describes a relaxed structure of Ba8CdPt4. The functional is GGA-PBE.

a = 4.655 Å, b = 11.547 Å, c = 11.074 Å
α = 82.50°, β = 77.87°, γ = 78.37°
Element x y z (fractional)
Ba 0.170 0.649 0.011
Ba 0.811 0.048 0.329
Ba 0.144 0.390 0.322
Ba 0.468 0.727 0.338
Ba 0.853 0.309 0.986
Ba 0.879 0.568 0.675
Ba 0.211 0.910 0.668
Ba 0.555 0.231 0.659
Pt 0.180 0.149 0.492
Pt 0.842 0.810 0.505
Pt 0.363 0.442 0.831
Pt 0.659 0.516 0.165
Cd 0.510 0.982 0.997

Output
total magnetization = 0.0 μB/cell


No. 13
This record from the Alexandria database describes a relaxed structure of Ba6CdPt. The functional is GGA-PBE.

a = 8.083 Å, b = 8.083 Å, c = 15.519 Å
α = 90.00°, β = 90.00°, γ = 120.00°
Element x y z (fractional)
Ba 0.690 0.013 0.381
Ba 0.987 0.677 0.381
Ba 0.323 0.310 0.381
Ba 0.677 0.987 0.881
Ba 0.013 0.323 0.619
Ba 0.690 0.677 0.119
Ba 0.310 0.323 0.881
Ba 0.013 0.690 0.881
Ba 0.323 0.013 0.119
Ba 0.987 0.310 0.119
Ba 0.677 0.690 0.619
Ba 0.310 0.987 0.619
Cd 0.667 0.333 0.750
Cd 0.333 0.667 0.250
Pt 0.000 0.000 0.000
Pt 0.000 0.000 0.500

Output
total magnetization = 0.0 μB/cell


No. 14
This record from the Alexandria database describes a relaxed structure of Ba2CdPt2. The functional is GGA-PBE.

a = 6.266 Å, b = 6.221 Å, c = 8.692 Å
α = 101.85°, β = 90.00°, γ = 120.24°
Element x y z (fractional)
Ba 0.792 0.294 0.646
Ba 0.502 0.294 0.146
Ba 0.208 0.706 0.354
Ba 0.498 0.706 0.854
Cd 0.125 0.000 0.750
Cd 0.875 0.000 0.250
Pt 0.716 0.718 0.494
Pt 0.002 0.718 0.994
Pt 0.284 0.282 0.506
Pt 0.998 0.282 0.006

Output
total magnetization = 0.0 μB/cell


No. 15
This record from the Alexandria database describes a relaxed structure of BaCd12Pt4. The functional is GGA-PBE.

a = 8.348 Å, b = 8.348 Å, c = 8.348 Å
α = 109.47°, β = 109.47°, γ = 109.47°
Element x y z (fractional)
Cd 0.514 0.168 0.346
Cd 0.821 0.168 0.654
Cd 0.832 0.654 0.486
Cd 0.168 0.654 0.821
Cd 0.168 0.346 0.514
Cd 0.346 0.514 0.168
Cd 0.832 0.346 0.179
Cd 0.654 0.486 0.832
Cd 0.486 0.832 0.654
Cd 0.654 0.821 0.168
Cd 0.179 0.832 0.346
Cd 0.346 0.179 0.832
Pt 0.000 0.000 0.500
Pt 0.000 0.500 0.000
Pt 0.500 0.000 0.000
Pt 0.500 0.500 0.500
Ba 0.000 0.000 0.000

Output
total magnetization = 0.0 μB/cell


No. 16
This record from the Alexandria database describes a relaxed structure of Ba5Cd2Pt. The functional is GGA-PBE.

a = 8.224 Å, b = 8.992 Å, c = 10.753 Å
α = 96.63°, β = 112.48°, γ = 90.00°
Element x y z (fractional)
Cd 0.108 0.432 0.793
Cd 0.892 0.568 0.207
Cd 0.314 0.068 0.207
Cd 0.686 0.932 0.793
Ba 0.070 0.750 0.000
Ba 0.151 0.303 0.440
Ba 0.289 0.803 0.440
Ba 0.271 0.063 0.804
Ba 0.711 0.197 0.560
Ba 0.533 0.563 0.804
Ba 0.729 0.937 0.196
Ba 0.467 0.437 0.196
Ba 0.930 0.250 0.000
Ba 0.849 0.697 0.560
Pt 0.000 0.000 0.500
Pt 0.500 0.500 0.500

Output
total magnetization = 0.0 μB/cell


No. 17
This record from the Alexandria database describes a relaxed structure of Ba2CdPt2. The functional is GGA-PBE.

a = 9.010 Å, b = 9.010 Å, c = 3.865 Å
α = 90.00°, β = 90.00°, γ = 90.00°
Element x y z (fractional)
Cd 0.000 0.000 0.000
Cd 0.500 0.500 0.000
Ba 0.852 0.648 0.000
Ba 0.352 0.852 0.000
Ba 0.148 0.352 0.000
Ba 0.648 0.148 0.000
Pt 0.147 0.647 0.500
Pt 0.853 0.353 0.500
Pt 0.353 0.147 0.500
Pt 0.647 0.853 0.500

Output
total magnetization = 0.0 μB/cell


No. 18
This record from the Alexandria database describes a relaxed structure of Ba6CdPt3. The functional is GGA-PBE.

a = 4.706 Å, b = 13.609 Å, c = 13.336 Å
α = 108.56°, β = 90.00°, γ = 90.00°
Element x y z (fractional)
Pt 0.750 0.836 0.452
Pt 0.750 0.501 0.686
Pt 0.250 0.499 0.314
Pt 0.250 0.164 0.548
Pt 0.250 0.921 0.841
Pt 0.750 0.079 0.159
Ba 0.750 0.608 0.470
Ba 0.750 0.052 0.391
Ba 0.250 0.737 0.292
Ba 0.250 0.238 0.216
Ba 0.750 0.465 0.139
Ba 0.750 0.085 0.926
Ba 0.250 0.392 0.530
Ba 0.250 0.948 0.609
Ba 0.750 0.762 0.784
Ba 0.250 0.535 0.861
Ba 0.250 0.915 0.074
Ba 0.750 0.263 0.708
Cd 0.750 0.701 0.056
Cd 0.250 0.299 0.944

Output
total magnetization = 0.0 μB/cell


No. 19
This record from the Alexandria database describes a relaxed structure of RbBaCd2Pt. The functional is GGA-PBE.

a = 5.506 Å, b = 5.506 Å, c = 5.888 Å
α = 90.00°, β = 90.00°, γ = 90.00°
Element x y z (fractional)
Cd 0.500 0.000 0.000
Cd 0.000 0.500 0.000
Pt 0.000 0.000 0.000
Ba 0.000 0.000 0.500
Rb 0.500 0.500 0.500

Output
total magnetization = 0.0 μB/cell


No. 20
This record from the Alexandria database describes a relaxed structure of Ba2Cd6PtRh. The functional is GGA-PBE.

a = 7.455 Å, b = 7.455 Å, c = 7.467 Å
α = 60.04°, β = 60.04°, γ = 90.03°
Element x y z (fractional)
Cd 0.748 0.748 0.504
Cd 0.748 0.252 0.000
Cd 0.748 0.748 0.000
Cd 0.252 0.252 0.000
Cd 0.252 0.252 0.496
Cd 0.252 0.748 0.000
Pt 0.000 0.000 0.000
Rh 0.500 0.500 0.000
Ba 0.250 0.750 0.500
Ba 0.750 0.250 0.500

Output
total magnetization = 0.0 μB/cell


No. 21
This record from the Alexandria database describes a relaxed structure of BaCdPtRh2. The functional is GGA-PBE.

a = 4.929 Å, b = 5.981 Å, c = 4.929 Å
α = 90.00°, β = 90.00°, γ = 90.00°
Site moments in Bohr magnetons follow the coordinates.
Element x y z (fractional)
Rh 0.500 0.000 0.000  0.75
Rh 0.000 0.000 0.500  0.77
Pt 0.500 0.500 0.500  0.16
Cd 0.000 0.000 0.000  0.00
Ba 0.000 0.500 0.000  -0.01

Output
total magnetization = 1.7 μB/cell


no.,DOS(E_F) (states/eV/cell),electronic total energy (eV per atom)
1,5.1,-2.2996
2,3.3,-3.9763
3,1.5,-3.5753
4,10.9,-2.3893
5,5.4,-3.2311
6,5.7,-2.8455
7,13.7,-3.0836
8,2.8,-3.9097
9,8.3,-5.5307
10,6.5,-2.9281
11,7.5,-3.3034
12,7.0,-3.6764
13,13.2,-2.6090
14,4.6,-4.0280
15,8.6,-2.2915
16,17.4,-2.5503
17,0.5,-3.6970
18,13.4,-3.6350
19,2.4,-2.4237
20,5.6,-2.5816
21,5.2,-3.5999